# 1
Compound: Th6Co3TcRh2
Source: the Alexandria database
Functional: PBE
Structure: relaxed

Summary:
Formation enthalpy at 0 K, eV per formula unit: -5.27
Electronic total energy, eV/f.u.: -96.2
DOS at the Fermi energy, states/eV per cell: 16.89

CIF file:
```
data_Th6Co3TcRh2
_chemical_formula_sum 'Th12 Co6 Tc2 Rh4'
_space_group_name_H-M_alt 'C 1 2/m 1'
_space_group_IT_number 12
_cell_length_a 18.1923
_cell_length_b 4.0464
_cell_length_c 7.8276
_cell_angle_alpha 90.00
_cell_angle_beta 111.16
_cell_angle_gamma 90.00
loop_
_space_group_symop_operation_xyz
'x,y,z'
'-x,-y,-z'
'-x,y,-z'
'x,-y,z'
'x+1/2,y+1/2,z'
'-x+1/2,-y+1/2,-z'
'-x+1/2,y+1/2,-z'
'x+1/2,-y+1/2,z'
loop_
_atom_site_label
_atom_site_fract_x
_atom_site_fract_y
_atom_site_fract_z
Th1 0.0017 0.0000 0.2553
Th2 0.1602 0.5000 0.6507
Th3 0.1632 0.5000 0.1328
Co1 0.0000 0.5000 0.5000
Co2 0.1952 0.0000 0.9165
Tc1 0.0000 0.5000 0.0000
Rh1 0.1877 0.0000 0.4179
```

# 2
Compound: VCoTcRh
Source: the Alexandria database
Functional: PBE
Structure: relaxed

Summary:
Formation enthalpy at 0 K, eV per formula unit: -0.14
Electronic total energy, eV/f.u.: -34.1
DOS at the Fermi energy, states/eV per cell: 32.69

CIF file:
```
data_VCoTcRh
_chemical_formula_sum 'V4 Co4 Tc4 Rh4'
_space_group_name_H-M_alt 'F -4 3 m'
_space_group_IT_number 216
_space_group_name_Hall 'F -4 2 3'
_cell_length_a 5.9661
_cell_length_b 5.9661
_cell_length_c 5.9661
_cell_angle_alpha 90.00
_cell_angle_beta 90.00
_cell_angle_gamma 90.00
loop_
_atom_site_label
_atom_site_fract_x
_atom_site_fract_y
_atom_site_fract_z
V1 0.0000 0.0000 0.0000
Co1 0.0000 0.0000 0.5000
Tc1 0.2500 0.2500 0.2500
Rh1 0.2500 0.2500 0.7500
```

# 3
Compound: ZrCoTcRh2
Source: the Alexandria database
Functional: PBE
Structure: relaxed

Summary:
Formation enthalpy at 0 K, eV per formula unit: 4.22
Electronic total energy, eV/f.u.: -36.5
DOS at the Fermi energy, states/eV per cell: 5.45

CIF file:
```
data_ZrCoTcRh2
_chemical_formula_sum 'Zr1 Co1 Tc1 Rh2'
_space_group_name_H-M_alt 'P 4/m m m'
_space_group_IT_number 123
_space_group_name_Hall '-P 4 2'
_cell_length_a 4.4396
_cell_length_b 4.4396
_cell_length_c 4.6143
_cell_angle_alpha 90.00
_cell_angle_beta 90.00
_cell_angle_gamma 90.00
loop_
_atom_site_label
_atom_site_fract_x
_atom_site_fract_y
_atom_site_fract_z
Zr1 0.0000 0.0000 0.0000
Co1 0.0000 0.0000 0.5000
Tc1 0.5000 0.5000 0.0000
Rh1 0.0000 0.5000 0.5000
```

# 4
Compound: Co5Te12Rh
Source: the Alexandria database
Functional: PBE
Structure: relaxed

Summary:
Electronic total energy, eV/f.u.: -84.5
DOS at the Fermi energy, states/eV per cell: 19.27
Raw formation energy, eV/atom: -0.217

CIF file:
```
data_Co5Te12Rh
_chemical_formula_sum 'Co10 Te24 Rh2'
_space_group_name_H-M_alt 'C 1 2/m 1'
_space_group_IT_number 12
_cell_length_a 6.5377
_cell_length_b 11.3234
_cell_length_c 11.8565
_cell_angle_alpha 90.00
_cell_angle_beta 100.74
_cell_angle_gamma 90.00
loop_
_space_group_symop_operation_xyz
'x,y,z'
'-x,-y,-z'
'-x,y,-z'
'x,-y,z'
'x+1/2,y+1/2,z'
'-x+1/2,-y+1/2,-z'
'-x+1/2,y+1/2,-z'
'x+1/2,-y+1/2,z'
loop_
_atom_site_label
_atom_site_fract_x
_atom_site_fract_y
_atom_site_fract_z
Co1 0.0000 0.0000 0.0000
Co2 0.0000 0.1667 0.5000
Co3 0.0000 0.3316 0.0000
Te1 0.1130 0.0000 0.3810
Te2 0.1330 0.3267 0.3810
Te3 0.2048 0.5000 0.1139
Te4 0.2059 0.1664 0.1153
Rh1 0.0000 0.5000 0.5000
```

Number 4 is which compound?
Co5Te12Rh

The lowest DOS at the Fermi energy belongs to which entry?
ZrCoTcRh2

The lowest electronic total energy belongs to which entry?
Th6Co3TcRh2